Entry 1:
# TlZnAu2

A relaxed structure of TlZnAu2 (GGA-PBE, Alexandria).

Cell: 4.2511 4.2511 6.3335 Å, 75.98 75.98 53.17°
Last column: nearest neighbours and their distance in Å.
Positions (direct):
Au1 0.9817 0.9817 0.0595  3 Zn 2.64-2.65
Au2 0.5183 0.5183 0.4405  3 Zn 2.64-2.65
Tl1 0.7500 0.7500 0.7500  6 Au 2.97-3.08
Zn1 0.2500 0.2500 0.2500  6 Au 2.64-2.65

Values from the calculation:
Calculated volume (Å³ per atom): 22.0
D(E_F) (states/eV/atom): 0.250
Crystal system: monoclinic
Offset from the most stable computed form (meV per atom): 31
ΔH_f (0 K) (eV/atom): -0.028
ρ (g cm⁻³): 12.497

***

Entry 2:
# TlZnAu4

A relaxed structure of TlZnAu4 (GGA-PBE, Alexandria).

Cell: 3.3240 3.3240 10.4405 Å, 90.00 90.00 90.00°
Last column: nearest neighbours and their distance in Å.
Positions (direct):
Tl1 0.0000 0.0000 0.0000  8 Au 3.15, 4 Tl 3.32
Zn1 0.5000 0.5000 0.5000  8 Au 2.75
Au1 0.5000 0.5000 0.7992  4 Au 2.90, 1 Zn 3.12, 4 Tl 3.15
Au2 0.5000 0.5000 0.2008  4 Au 2.90, 1 Zn 3.12, 4 Tl 3.15
Au3 0.0000 0.0000 0.6370  4 Zn 2.75, 5 Au 2.86-2.90
Au4 0.0000 0.0000 0.3630  4 Zn 2.75, 5 Au 2.86-2.90

Values from the calculation:
Calculated volume (Å³ per atom): 19.2
D(E_F) (states/eV/atom): 0.130
Crystal system: tetragonal
Offset from the most stable computed form (meV per atom): 0
ΔH_f (0 K) (eV/atom): -0.039
ρ (g cm⁻³): 15.224

***

Entry 3:
# Zr6Tl2Au

A relaxed structure of Zr6Tl2Au (GGA-PBE, Alexandria).

Cell: 4.5056 9.4870 9.4874 Å, 90.00 90.00 90.00°
Last column: nearest neighbours and their distance in Å.
Positions (direct):
Zr1 0.0000 0.0131 0.1698  3 Tl 3.09-3.11, 1 Au 3.14, 8 Zr 3.21-3.26
Zr2 0.0000 0.6698 0.5131  3 Tl 3.09-3.11, 1 Au 3.13, 8 Zr 3.21-3.26
Zr3 0.0000 0.6445 0.8554  2 Au 2.97, 4 Tl 3.18, 6 Zr 3.23-3.26
Zr4 0.5000 0.1445 0.6446  2 Au 2.97, 4 Tl 3.18, 6 Zr 3.23-3.26
Zr5 0.5000 0.1698 0.9869  3 Tl 3.09-3.11, 1 Au 3.13, 8 Zr 3.21-3.26
Zr6 0.5000 0.5131 0.3302  3 Tl 3.09-3.11, 1 Au 3.14, 8 Zr 3.21-3.26
Zr7 0.0000 0.9869 0.8302  3 Tl 3.09-3.11, 1 Au 3.14, 8 Zr 3.21-3.26
Zr8 0.0000 0.3302 0.4869  3 Tl 3.09-3.11, 1 Au 3.13, 8 Zr 3.21-3.26
Zr9 0.0000 0.3555 0.1446  2 Au 2.97, 4 Tl 3.18, 6 Zr 3.23-3.26
Zr10 0.5000 0.8555 0.3554  2 Au 2.97, 4 Tl 3.18, 6 Zr 3.23-3.26
Zr11 0.5000 0.8302 0.0131  3 Tl 3.09-3.11, 1 Au 3.13, 8 Zr 3.21-3.26
Zr12 0.5000 0.4869 0.6698  3 Tl 3.09-3.11, 1 Au 3.14, 8 Zr 3.21-3.26
Tl1 0.0000 0.3121 0.8121  10 Zr 3.09-3.18, 2 Au 3.38
Tl2 0.5000 0.8121 0.6879  10 Zr 3.09-3.18, 2 Au 3.38
Tl3 0.5000 0.1879 0.3121  10 Zr 3.09-3.18, 2 Au 3.38
Tl4 0.0000 0.6879 0.1879  10 Zr 3.09-3.18, 2 Au 3.38
Au1 0.5000 0.5000 0.0000  8 Zr 2.97-3.14
Au2 0.0000 0.0000 0.5000  8 Zr 2.97-3.14

Values from the calculation:
Calculated volume (Å³ per atom): 22.5
D(E_F) (states/eV/atom): 1.142
Crystal system: tetragonal
ΔH_f (0 K) (eV/atom): -0.145
ρ (g cm⁻³): 9.443

***

Entry 4:
# ZrTlAu

A relaxed structure of ZrTlAu (GGA-PBE, Alexandria).

Cell: 8.8908 4.7782 3.3333 Å, 90.00 111.37 90.00°
Last column: nearest neighbours and their distance in Å.
Positions (direct):
Tl1 0.1240 0.1370 0.3072  1 Au 2.88, 2 Tl 3.04, 2 Zr 3.18
Tl2 0.2681 0.6370 0.0114  1 Au 2.88, 2 Tl 3.04, 2 Zr 3.18
Au1 0.6013 0.6369 0.5869  2 Au 2.86, 1 Tl 2.88, 6 Zr 2.92-3.08
Au2 0.7908 0.1369 0.7319  2 Au 2.86, 1 Tl 2.88, 6 Zr 2.92-3.08
Zr1 0.4972 0.1370 0.9608  6 Au 2.92-3.08, 3 Tl 3.18-3.24
Zr2 0.8949 0.6370 0.3579  6 Au 2.92-3.08, 3 Tl 3.18-3.24

Values from the calculation:
Calculated volume (Å³ per atom): 22.0
D(E_F) (states/eV/atom): 0.634
Crystal system: monoclinic
ΔH_f (0 K) (eV/atom): -0.187
ρ (g cm⁻³): 12.406

***

Entry 5:
# ZrTlAu

A relaxed structure of ZrTlAu (GGA-PBE, Alexandria).

Cell: 4.8103 4.8103 3.1809 Å, 90.00 90.00 120.00°
Last column: nearest neighbours and their distance in Å.
Positions (direct):
Au1 0.0000 0.0000 0.1630  3 Tl 2.78
Tl1 0.6667 0.3333 0.1707  3 Au 2.78
Zr1 0.3333 0.6667 0.6663  2 Zr 3.18, 6 Tl 3.19-3.21, 6 Au 3.20-3.21

Values from the calculation:
Calculated volume (Å³ per atom): 21.2
D(E_F) (states/eV/atom): 0.710
Crystal system: trigonal
ΔH_f (0 K) (eV/atom): -0.163
ρ (g cm⁻³): 12.832

***

Entry 6:
# ZrTl2Au

A relaxed structure of ZrTl2Au (GGA-PBE, Alexandria).

Cell: 6.0653 6.0653 5.5081 Å, 62.64 62.64 31.29°
Last column: nearest neighbours and their distance in Å.
Positions (direct):
Au1 0.2500 0.2500 0.2500  4 Tl 2.95, 4 Zr 3.20, 2 Au 3.27
Tl1 0.9888 0.9888 0.0114  2 Au 2.95, 2 Zr 3.14, 6 Tl 3.21-3.27
Tl2 0.5112 0.5112 0.4886  2 Au 2.95, 2 Zr 3.14, 6 Tl 3.21-3.27
Zr1 0.7500 0.7500 0.7500  4 Tl 3.14, 4 Au 3.20, 2 Zr 3.27

Values from the calculation:
Calculated volume (Å³ per atom): 23.1
D(E_F) (states/eV/atom): 0.770
Crystal system: monoclinic
Offset from the most stable computed form (meV per atom): 149
ΔH_f (0 K) (eV/atom): 0.062
ρ (g cm⁻³): 12.516

***

Entry 7:
# ZrTlAu

A relaxed structure of ZrTlAu (GGA-PBE, Alexandria).

Cell: 6.3300 4.5436 9.1113 Å, 90.00 90.00 90.00°
Last column: nearest neighbours and their distance in Å.
Positions (direct):
Tl1 0.8650 0.2500 0.4252  5 Zr 3.02-3.19, 5 Au 3.14-3.27, 2 Tl 3.15
Tl2 0.6350 0.7500 0.9252  5 Zr 3.02-3.19, 5 Au 3.14-3.27, 2 Tl 3.15
Tl3 0.1350 0.7500 0.5748  5 Zr 3.02-3.19, 5 Au 3.14-3.27, 2 Tl 3.15
Tl4 0.3650 0.2500 0.0748  5 Zr 3.02-3.19, 5 Au 3.14-3.27, 2 Tl 3.15
Au1 0.8986 0.2500 0.7731  5 Zr 2.92-3.27, 5 Tl 3.14-3.27, 2 Au 3.19
Au2 0.6014 0.7500 0.2731  5 Zr 2.92-3.27, 5 Tl 3.14-3.27, 2 Au 3.19
Au3 0.1014 0.7500 0.2269  5 Zr 2.92-3.27, 5 Tl 3.14-3.27, 2 Au 3.19
Au4 0.3986 0.2500 0.7269  5 Zr 2.92-3.27, 5 Tl 3.14-3.27, 2 Au 3.19
Zr1 0.3677 0.2500 0.4066  5 Au 2.92-3.27, 5 Tl 3.02-3.19
Zr2 0.1323 0.7500 0.9066  5 Au 2.92-3.27, 5 Tl 3.02-3.19
Zr3 0.6323 0.7500 0.5934  5 Au 2.92-3.27, 5 Tl 3.02-3.19
Zr4 0.8677 0.2500 0.0934  5 Au 2.92-3.27, 5 Tl 3.02-3.19

Values from the calculation:
Calculated volume (Å³ per atom): 21.8
D(E_F) (states/eV/atom): 1.455
Crystal system: orthorhombic
ΔH_f (0 K) (eV/atom): -0.112
ρ (g cm⁻³): 12.485

***

Entry 8:
# ZrTl2Au

A relaxed structure of ZrTl2Au (GGA-PBE, Alexandria).

Cell: 9.8106 9.8106 9.8106 Å, 19.54 19.54 19.54°
Last column: nearest neighbours and their distance in Å.
Positions (direct):
Au1 0.7500 0.7500 0.7500  6 Tl 3.00, 6 Au 3.33
Tl1 0.0037 0.0037 0.0037  3 Au 3.00, 3 Zr 3.16, 6 Tl 3.33
Tl2 0.4963 0.4963 0.4963  3 Au 3.00, 3 Zr 3.16, 6 Tl 3.33
Zr1 0.2500 0.2500 0.2500  6 Tl 3.16, 6 Zr 3.33

Values from the calculation:
Calculated volume (Å³ per atom): 23.1
D(E_F) (states/eV/atom): 0.689
Crystal system: trigonal
Offset from the most stable computed form (meV per atom): 205
ΔH_f (0 K) (eV/atom): 0.118
ρ (g cm⁻³): 12.532

***

Entry 9:
# Zr6Tl3Au

A relaxed structure of Zr6Tl3Au (GGA-PBE, Alexandria).

Cell: 7.9451 7.3387 7.3387 Å, 48.99 62.01 62.01°
Last column: nearest neighbours and their distance in Å.
Positions (direct):
Zr1 0.3771 0.1270 0.6286  1 Au 2.76, 3 Zr 2.93-3.05, 1 Tl 2.98
Zr2 0.6229 0.3714 0.8730  1 Au 2.76, 3 Zr 2.93-3.05, 1 Tl 2.98
Zr3 0.6229 0.8730 0.3714  1 Au 2.76, 3 Zr 2.93-3.05, 1 Tl 2.98
Zr4 0.3771 0.6286 0.1270  1 Au 2.76, 3 Zr 2.93-3.05, 1 Tl 2.98
Zr5 0.1922 0.7345 0.7345  1 Au 2.81, 4 Tl 3.01-3.05
Zr6 0.8078 0.2655 0.2655  1 Au 2.81, 4 Tl 3.01-3.05
Tl1 0.2073 0.2402 0.2402  7 Zr 3.01-3.21
Tl2 0.7927 0.7598 0.7598  7 Zr 3.01-3.21
Tl3 0.0000 0.0000 0.0000  6 Zr 2.98-3.05
Au1 0.5000 0.5000 0.5000  6 Zr 2.76-2.81

Values from the calculation:
Calculated volume (Å³ per atom): 27.7
D(E_F) (states/eV/atom): 1.144
Crystal system: monoclinic
ΔH_f (0 K) (eV/atom): 0.250
ρ (g cm⁻³): 8.148

***

Entry 10:
# ZrTlAu

A relaxed structure of ZrTlAu (GGA-PBE, Alexandria).

Cell: 11.1357 5.3890 4.3365 Å, 113.78 54.26 141.70°
Last column: nearest neighbours and their distance in Å.
Positions (direct):
Tl1 0.3024 0.0939 0.2216  5 Zr 3.05-3.21, 4 Au 3.09-3.35, 3 Tl 3.13-3.23
Tl2 0.1005 0.2365 0.0960  5 Au 3.06-3.27, 4 Zr 3.08-3.16, 3 Tl 3.13-3.23
Au1 0.9161 0.3712 0.9403  4 Zr 2.96-3.14, 2 Au 3.04, 3 Tl 3.09-3.24
Au2 0.6153 0.7432 0.5771  6 Zr 3.03-3.24, 2 Au 3.04, 4 Tl 3.06-3.27
Zr1 0.4470 0.8926 0.4042  4 Au 2.96-3.24, 5 Tl 3.05-3.16, 2 Zr 3.22-3.23
Zr2 0.7950 0.5882 0.7299  6 Au 2.96-3.16, 4 Tl 3.08-3.21, 2 Zr 3.22-3.23

Values from the calculation:
Calculated volume (Å³ per atom): 21.7
D(E_F) (states/eV/atom): 0.861
Crystal system: monoclinic
ΔH_f (0 K) (eV/atom): -0.159
ρ (g cm⁻³): 12.572

***

Entry 11:
# ZrTlAu

A relaxed structure of ZrTlAu (GGA-PBE, Alexandria).

Cell: 9.9427 3.1795 5.2629 Å, 127.16 93.06 84.86°
Last column: nearest neighbours and their distance in Å.
Positions (direct):
Tl1 0.1410 0.9550 0.4735  4 Au 3.01, 2 Tl 3.18, 2 Zr 3.24
Tl2 0.6409 0.9537 0.9734  2 Au 3.11, 8 Zr 3.14-3.18, 2 Tl 3.18
Au1 0.3269 0.0465 0.9734  4 Zr 2.95-2.98, 3 Tl 3.01-3.11, 2 Au 3.18
Au2 0.9549 0.8611 0.9735  4 Zr 2.95-2.98, 3 Tl 3.01-3.11, 2 Au 3.18
Zr1 0.4642 0.0155 0.4732  4 Au 2.95-2.98, 5 Tl 3.14-3.24, 2 Zr 3.18
Zr2 0.8177 0.8921 0.4737  4 Au 2.95-2.98, 5 Tl 3.14-3.24, 2 Zr 3.18

Values from the calculation:
Calculated volume (Å³ per atom): 22.0
D(E_F) (states/eV/atom): 0.762
Crystal system: triclinic
ΔH_f (0 K) (eV/atom): -0.171
ρ (g cm⁻³): 12.388

***

Entry 12:
# ZrTlAu

A relaxed structure of ZrTlAu (GGA-PBE, Alexandria).

Cell: 7.5235 5.3732 3.2743 Å, 90.00 90.00 86.74°
Last column: nearest neighbours and their distance in Å.
Positions (direct):
Tl1 0.1961 0.9703 0.0475  6 Tl 3.15-3.27, 2 Zr 3.15, 4 Au 3.23
Tl2 0.1961 0.4703 0.5471  4 Zr 3.14-3.15, 6 Tl 3.15-3.27, 2 Au 3.25
Au1 0.5502 0.7896 0.5463  6 Zr 2.89-3.16, 1 Au 3.01, 2 Tl 3.23
Au2 0.8419 0.1509 0.5461  6 Zr 2.89-3.16, 1 Au 3.01, 2 Tl 3.23
Zr1 0.5356 0.2876 0.0463  6 Au 2.89-3.16, 3 Tl 3.14-3.15, 1 Zr 3.20
Zr2 0.8565 0.6530 0.0463  6 Au 2.89-3.16, 3 Tl 3.14-3.15, 1 Zr 3.20

Values from the calculation:
Calculated volume (Å³ per atom): 22.0
D(E_F) (states/eV/atom): 0.991
Crystal system: monoclinic
ΔH_f (0 K) (eV/atom): -0.180
ρ (g cm⁻³): 12.379

***

Entry 13:
# ZrTl2Au

A relaxed structure of ZrTl2Au (GGA-PBE, Alexandria).

Cell: 6.2913 6.2913 6.2913 Å, 148.93 131.24 58.95°
Last column: nearest neighbours and their distance in Å.
Positions (direct):
Au1 0.2727 0.7727 0.5000  2 Zr 2.85, 4 Tl 3.13
Tl1 0.0130 0.0130 0.0000  4 Zr 3.11, 2 Au 3.31, 2 Tl 3.37
Tl2 0.7318 0.2318 0.5000  4 Au 3.13, 2 Zr 3.21, 2 Tl 3.37
Zr1 0.4825 0.4825 0.0000  2 Au 2.85, 4 Tl 3.11

Values from the calculation:
Calculated volume (Å³ per atom): 24.0
D(E_F) (states/eV/atom): 0.844
Crystal system: orthorhombic
Offset from the most stable computed form (meV per atom): 87
ΔH_f (0 K) (eV/atom): 0.000
ρ (g cm⁻³): 12.074

***

Entry 14:
# Zr6TlAu

A relaxed structure of Zr6TlAu (GGA-PBE, Alexandria).

Cell: 4.4449 4.4449 8.8469 Å, 90.00 90.00 90.00°
Last column: nearest neighbours and their distance in Å.
Positions (direct):
Zr1 0.5000 0.5000 0.0000  4 Tl 3.14, 8 Zr 3.18
Zr2 0.5000 0.5000 0.5000  8 Zr 3.10, 4 Au 3.14
Zr3 0.5000 0.0000 0.2564  2 Au 3.10, 8 Zr 3.10-3.18, 2 Tl 3.18
Zr4 0.5000 0.0000 0.7436  2 Au 3.10, 8 Zr 3.10-3.18, 2 Tl 3.18
Zr5 0.0000 0.5000 0.2564  8 Zr 3.10-3.18, 2 Au 3.10, 2 Tl 3.18
Zr6 0.0000 0.5000 0.7436  8 Zr 3.10-3.18, 2 Au 3.10, 2 Tl 3.18
Tl1 0.0000 0.0000 0.0000  12 Zr 3.14-3.18
Au1 0.0000 0.0000 0.5000  12 Zr 3.10-3.14

Values from the calculation:
Calculated volume (Å³ per atom): 21.8
D(E_F) (states/eV/atom): 1.246
Crystal system: tetragonal
Offset from the most stable computed form (meV per atom): 50
ΔH_f (0 K) (eV/atom): -0.186
ρ (g cm⁻³): 9.013